Arrangement one

A plane-wave DFT calculation with PBE was carried out for a relaxed RbCaGe3 crystal.

Unit cell a=5.6029 b=5.6029 c=5.6029 alpha=90.00 beta=90.00 gamma=90.00
Closest atoms and distances in Å follow each position.
Fractional positions:
Ge  0.0000  0.5000  0.0000  2 Rb 2.80
Ge  0.0000  0.0000  0.5000  2 Rb 2.80
Ge  0.5000  0.0000  0.0000  2 Rb 2.80
Ca  0.5000  0.5000  0.5000  12 Ge 3.96
Rb  0.0000  0.0000  0.0000  6 Ge 2.80

Calculated values
- crystal system = cubic
- total moment (μB/f.u.) = 0.00

=====

Arrangement two

A plane-wave DFT calculation with PBE was carried out for a relaxed RbCaGe3 crystal.

Unit cell a=5.6058 b=5.6058 c=5.6058 alpha=90.00 beta=90.00 gamma=90.00
Closest atoms and distances in Å follow each position.
Fractional positions:
Ge  0.0000  0.5000  0.0000  2 Ca 2.80
Ge  0.0000  0.0000  0.5000  2 Ca 2.80
Ge  0.5000  0.0000  0.0000  2 Ca 2.80
Ca  0.0000  0.0000  0.0000  6 Ge 2.80
Rb  0.5000  0.5000  0.5000  12 Ge 3.96

Calculated values
- crystal system = cubic
- total moment (μB/f.u.) = 0.00

=====

arrangement two wins, 627 meV per atom ahead of the next structure.

=====

Arrangement one

A plane-wave DFT calculation with PBE was carried out for a relaxed CaRe3Ge crystal.

Unit cell a=4.6521 b=4.6521 c=4.6521 alpha=90.00 beta=90.00 gamma=90.00
Closest atoms and distances in Å follow each position.
Fractional positions:
Re  0.0000  0.5000  0.0000  2 Ge 2.33
Re  0.0000  0.0000  0.5000  2 Ge 2.33
Re  0.5000  0.0000  0.0000  2 Ge 2.33
Ge  0.0000  0.0000  0.0000  6 Re 2.33
Ca  0.5000  0.5000  0.5000  12 Re 3.29

Calculated values
- crystal system = cubic
- total moment (μB/f.u.) = 0.00

=====

Arrangement two

A plane-wave DFT calculation with PBE was carried out for a relaxed CaRe3Ge crystal.

Unit cell a=4.6783 b=4.6783 c=4.6783 alpha=90.00 beta=90.00 gamma=90.00
Closest atoms and distances in Å follow each position.
Fractional positions:
Re  0.0000  0.5000  0.0000  2 Ca 2.34
Re  0.0000  0.0000  0.5000  2 Ca 2.34
Re  0.5000  0.0000  0.0000  2 Ca 2.34
Ge  0.5000  0.5000  0.5000  12 Re 3.31
Ca  0.0000  0.0000  0.0000  6 Re 2.34

Calculated values
- crystal system = cubic
- total moment (μB/f.u.) = 3.26

=====

arrangement one wins, 1876 meV per atom ahead of the next structure.

=====

Arrangement one

A plane-wave DFT calculation with PBE was carried out for a relaxed CaReGe3 crystal.

Unit cell a=4.9984 b=4.9984 c=4.9984 alpha=90.00 beta=90.00 gamma=90.00
Closest atoms and distances in Å follow each position.
Fractional positions:
Re  0.5000  0.5000  0.5000  12 Ge 3.53
Ge  0.0000  0.5000  0.0000  2 Ca 2.50
Ge  0.0000  0.0000  0.5000  2 Ca 2.50
Ge  0.5000  0.0000  0.0000  2 Ca 2.50
Ca  0.0000  0.0000  0.0000  6 Ge 2.50

Calculated values
- crystal system = cubic
- total moment (μB/f.u.) = 0.00

=====

Arrangement two

A plane-wave DFT calculation with PBE was carried out for a relaxed CaReGe3 crystal.

Unit cell a=4.8889 b=4.8889 c=4.8889 alpha=90.00 beta=90.00 gamma=90.00
Closest atoms and distances in Å follow each position.
Fractional positions:
Re  0.0000  0.0000  0.0000  6 Ge 2.44
Ge  0.0000  0.5000  0.0000  2 Re 2.44
Ge  0.0000  0.0000  0.5000  2 Re 2.44
Ge  0.5000  0.0000  0.0000  2 Re 2.44
Ca  0.5000  0.5000  0.5000  12 Ge 3.46

Calculated values
- crystal system = cubic
- total moment (μB/f.u.) = 0.00

=====

arrangement two wins, 2039 meV per atom ahead of the next structure.

=====

Arrangement one

A plane-wave DFT calculation with PBE was carried out for a relaxed CaGeRh3 crystal.

Unit cell a=5.4206 b=8.7390 c=6.3301 alpha=133.65 beta=115.35 gamma=90.00
Closest atoms and distances in Å follow each position.
Fractional positions:
Ca  0.2500  0.2483  0.5000  5 Rh 2.75-2.95
Ca  0.7500  0.7517  0.5000  5 Rh 2.75-2.95
Ge  0.0000  0.5000  0.0000  6 Rh 2.45-2.60
Ge  0.5000  0.0000  0.0000  6 Rh 2.45-2.60
Rh  0.8062  0.3062  0.1124  2 Ge 2.60, 5 Rh 2.70-2.86
Rh  0.3062  0.3062  0.1124  2 Ge 2.60, 5 Rh 2.70-2.86
Rh  0.6938  0.6938  0.8876  2 Ge 2.60, 5 Rh 2.70-2.86
Rh  0.1938  0.6938  0.8876  2 Ge 2.60, 5 Rh 2.70-2.86
Rh  0.2500  0.9338  0.5000  2 Ge 2.45, 4 Rh 2.70
Rh  0.7500  0.0662  0.5000  2 Ge 2.45, 4 Rh 2.70

Calculated values
- crystal system = orthorhombic
- total moment (μB/f.u.) = 0.00

=====

Arrangement two

A plane-wave DFT calculation with PBE was carried out for a relaxed CaGeRh3 crystal.

Unit cell a=4.7348 b=4.7348 c=4.7348 alpha=90.00 beta=90.00 gamma=90.00
Closest atoms and distances in Å follow each position.
Fractional positions:
Ge  0.5000  0.5000  0.5000  12 Rh 3.35
Rh  0.0000  0.5000  0.0000  2 Ca 2.37
Rh  0.0000  0.0000  0.5000  2 Ca 2.37
Rh  0.5000  0.0000  0.0000  2 Ca 2.37
Ca  0.0000  0.0000  0.0000  6 Rh 2.37

Calculated values
- crystal system = cubic
- total moment (μB/f.u.) = 0.98

=====

Arrangement three

A plane-wave DFT calculation with PBE was carried out for a relaxed CaGeRh3 crystal.

Unit cell a=4.6108 b=4.6108 c=4.6108 alpha=90.00 beta=90.00 gamma=90.00
Closest atoms and distances in Å follow each position.
Fractional positions:
Ge  0.0000  0.0000  0.0000  6 Rh 2.31
Rh  0.0000  0.5000  0.0000  2 Ge 2.31
Rh  0.0000  0.0000  0.5000  2 Ge 2.31
Rh  0.5000  0.0000  0.0000  2 Ge 2.31
Ca  0.5000  0.5000  0.5000  12 Rh 3.26

Calculated values
- crystal system = cubic
- total moment (μB/f.u.) = 0.00

=====

arrangement one wins, 254 meV per atom ahead of the next structure.

=====

Arrangement one

A plane-wave DFT calculation with PBE was carried out for a relaxed CaGe3Rh2 crystal.

Unit cell a=5.6895 b=6.2396 c=6.2396 alpha=101.65 beta=90.00 gamma=90.00
Closest atoms and distances in Å follow each position.
Fractional positions:
Ca  0.2500  0.3480  0.3480  7 Ge 2.98-3.32, 4 Rh 3.28
Ca  0.7500  0.6520  0.6520  7 Ge 2.98-3.32, 4 Rh 3.28
Ge  0.7500  0.4478  0.1171  4 Rh 2.48-2.70, 1 Ge 2.56
Ge  0.7500  0.1171  0.4478  4 Rh 2.48-2.70, 1 Ge 2.56
Ge  0.2500  0.5522  0.8829  4 Rh 2.48-2.70, 1 Ge 2.56
Ge  0.7500  0.0295  0.0295  2 Ge 2.56, 4 Rh 2.58
Ge  0.2500  0.9705  0.9705  2 Ge 2.56, 4 Rh 2.58
Ge  0.2500  0.8829  0.5522  4 Rh 2.48-2.70, 1 Ge 2.56
Rh  0.5000  0.7789  0.2211  6 Ge 2.48-2.70
Rh  0.0000  0.7789  0.2211  6 Ge 2.48-2.70
Rh  0.0000  0.2211  0.7789  6 Ge 2.48-2.70
Rh  0.5000  0.2211  0.7789  6 Ge 2.48-2.70

Calculated values
- crystal system = orthorhombic
- total moment (μB/f.u.) = 0.00

=====

Arrangement two

A plane-wave DFT calculation with PBE was carried out for a relaxed CaGe3Rh2 crystal.

Unit cell a=4.0909 b=8.4666 c=9.9578 alpha=103.54 beta=90.00 gamma=103.98
Closest atoms and distances in Å follow each position.
Fractional positions:
Ca  0.1485  0.2969  0.6951  8 Ge 3.06-3.41, 4 Rh 3.29
Ca  0.8515  0.7031  0.3049  8 Ge 3.06-3.41, 4 Rh 3.29
Ca  0.0000  0.0000  0.0000  6 Rh 3.14-3.31, 10 Ge 3.23-3.50
Ge  0.0521  0.1042  0.3624  4 Rh 2.47-2.58, 2 Ge 2.71
Ge  0.9479  0.8958  0.6376  4 Rh 2.47-2.58, 2 Ge 2.71
Ge  0.2258  0.4516  0.3638  4 Rh 2.50-2.72
Ge  0.7742  0.5484  0.6362  4 Rh 2.50-2.72
Ge  0.6366  0.2731  0.1777  4 Rh 2.54-2.63, 1 Ge 2.56
Ge  0.3634  0.7269  0.8223  4 Rh 2.54-2.63, 1 Ge 2.56
Ge  0.5000  0.0000  0.5000  4 Rh 2.60-2.66, 4 Ge 2.71
Ge  0.3554  0.7107  0.0759  4 Rh 2.44-2.65, 1 Ge 2.56
Ge  0.6446  0.2893  0.9241  4 Rh 2.44-2.65, 1 Ge 2.56
Rh  0.2078  0.4156  0.0851  6 Ge 2.45-2.72
Rh  0.7922  0.5844  0.9149  6 Ge 2.45-2.72
Rh  0.4932  0.9864  0.2365  5 Ge 2.44-2.60
Rh  0.5068  0.0136  0.7635  5 Ge 2.44-2.60
Rh  0.3520  0.7040  0.5634  7 Ge 2.50-2.66
Rh  0.6480  0.2960  0.4366  7 Ge 2.50-2.66

Calculated values
- crystal system = monoclinic
- total moment (μB/f.u.) = 0.00

=====

arrangement two wins, 41 meV per atom ahead of the next structure.

=====

Arrangement one

A plane-wave DFT calculation with PBE was carried out for a relaxed CaSmGeRh crystal.

Unit cell a=5.0164 b=5.0164 c=5.0164 alpha=60.00 beta=60.00 gamma=60.00
Closest atoms and distances in Å follow each position.
Fractional positions:
Ge  0.7500  0.7500  0.7500  4 Sm 3.07, 4 Ca 3.07
Rh  0.2500  0.2500  0.2500  4 Sm 3.07, 4 Ca 3.07
Ca  0.0000  0.0000  0.0000  4 Ge 3.07, 4 Rh 3.07
Sm  0.5000  0.5000  0.5000  4 Rh 3.07, 4 Ge 3.07

Calculated values
- crystal system = cubic
- total moment (μB/f.u.) = 0.00

=====

Arrangement two

A plane-wave DFT calculation with PBE was carried out for a relaxed CaSmGeRh crystal.

Unit cell a=4.3609 b=3.9326 c=5.9446 alpha=90.00 beta=111.52 gamma=90.00
Closest atoms and distances in Å follow each position.
Fractional positions:
Ca  0.1471  0.0000  0.2943  3 Rh 3.05-3.30, 4 Ge 3.06
Sm  0.8619  0.5000  0.7238  4 Rh 3.01, 3 Ge 3.15-3.25
Ge  0.5678  0.5000  0.1356  2 Rh 2.54
Rh  0.4231  0.0000  0.8462  2 Ge 2.54

Calculated values
- crystal system = orthorhombic
- total moment (μB/f.u.) = 0.00

=====

arrangement two wins, 141 meV per atom ahead of the next structure.